CsCdBr3 after structural relaxation, computed with PBE-GGA.

Cell lengths 9.8251, 4.3380, 16.5312 Å; angles 90.00, 90.00, 90.00 degrees
Closest atoms and distances in Å follow each position.
Positions (direct):
Cs 0.0704 0.2500 0.1726  8 Br 3.62-3.94
Cs 0.4296 0.7500 0.6726  8 Br 3.62-3.94
Cs 0.5704 0.2500 0.3274  8 Br 3.62-3.94
Cs 0.9296 0.7500 0.8274  8 Br 3.62-3.94
Cd 0.1606 0.7500 0.4457  6 Br 2.69-2.93
Cd 0.3394 0.2500 0.9457  6 Br 2.69-2.93
Cd 0.6606 0.7500 0.0543  6 Br 2.69-2.93
Cd 0.8394 0.2500 0.5543  6 Br 2.69-2.93
Br 0.0269 0.7500 0.5964  3 Cd 2.81-2.93
Br 0.1760 0.7500 0.0024  2 Cd 2.86
Br 0.2245 0.2500 0.7982  1 Cd 2.69
Br 0.2755 0.7500 0.2982  1 Cd 2.69
Br 0.3240 0.2500 0.5024  2 Cd 2.86
Br 0.4731 0.2500 0.0964  3 Cd 2.81-2.93
Br 0.5269 0.7500 0.9036  3 Cd 2.81-2.93
Br 0.6760 0.7500 0.4976  2 Cd 2.86
Br 0.7245 0.2500 0.7018  1 Cd 2.69
Br 0.7755 0.7500 0.2018  1 Cd 2.69
Br 0.8240 0.2500 0.9976  2 Cd 2.86
Br 0.9731 0.2500 0.4036  3 Cd 2.81-2.93

energy = -2.6057 eV/atom
symmetry = No. 62

***

Cs2CdFeBr6 after structural relaxation, computed with PBE-GGA.

Cell lengths 7.7250, 7.7250, 7.7250 Å; angles 60.00, 60.00, 60.00 degrees
Closest atoms and distances in Å follow each position.
Positions (direct):
Cs 0.2500 0.2500 0.2500  12 Br 3.86
Cs 0.7500 0.7500 0.7500  12 Br 3.86
Cd 0.0000 0.0000 0.0000  6 Br 2.82
Fe 0.5000 0.5000 0.5000  6 Br 2.65
Br 0.2578 0.2578 0.7422  1 Fe 2.65, 1 Cd 2.82
Br 0.2578 0.7422 0.2578  1 Fe 2.65, 1 Cd 2.82
Br 0.2578 0.7422 0.7422  1 Fe 2.65, 1 Cd 2.82
Br 0.7422 0.2578 0.2578  1 Fe 2.65, 1 Cd 2.82
Br 0.7422 0.2578 0.7422  1 Fe 2.65, 1 Cd 2.82
Br 0.7422 0.7422 0.2578  1 Fe 2.65, 1 Cd 2.82

energy = -3.1644 eV/atom
symmetry = No. 225

***

Cs2CdHgBr6 after structural relaxation, computed with PBE-GGA.

Cell lengths 7.9696, 7.9696, 7.9696 Å; angles 60.00, 60.00, 60.00 degrees
Closest atoms and distances in Å follow each position.
Positions (direct):
Cs 0.2500 0.2500 0.2500  12 Br 3.98
Cs 0.7500 0.7500 0.7500  12 Br 3.98
Cd 0.0000 0.0000 0.0000  6 Br 2.80
Hg 0.5000 0.5000 0.5000  6 Br 2.84
Br 0.2481 0.2481 0.7519  1 Cd 2.80, 1 Hg 2.84
Br 0.2481 0.7519 0.2481  1 Cd 2.80, 1 Hg 2.84
Br 0.2481 0.7519 0.7519  1 Cd 2.80, 1 Hg 2.84
Br 0.7519 0.2481 0.2481  1 Cd 2.80, 1 Hg 2.84
Br 0.7519 0.2481 0.7519  1 Cd 2.80, 1 Hg 2.84
Br 0.7519 0.7519 0.2481  1 Cd 2.80, 1 Hg 2.84

energy = -2.3945 eV/atom
symmetry = No. 225

***

Cs2TlCdBr6 after structural relaxation, computed with PBE-GGA.

Cell lengths 8.1138, 8.1138, 8.1138 Å; angles 60.00, 60.00, 60.00 degrees
Closest atoms and distances in Å follow each position.
Positions (direct):
Cs 0.2500 0.2500 0.2500  12 Br 4.06
Cs 0.7500 0.7500 0.7500  12 Br 4.06
Tl 0.0000 0.0000 0.0000  6 Br 2.95
Cd 0.5000 0.5000 0.5000  6 Br 2.79
Br 0.2568 0.2568 0.7432  1 Cd 2.79, 1 Tl 2.95
Br 0.2568 0.7432 0.2568  1 Cd 2.79, 1 Tl 2.95
Br 0.2568 0.7432 0.7432  1 Cd 2.79, 1 Tl 2.95
Br 0.7432 0.2568 0.2568  1 Cd 2.79, 1 Tl 2.95
Br 0.7432 0.2568 0.7432  1 Cd 2.79, 1 Tl 2.95
Br 0.7432 0.7432 0.2568  1 Cd 2.79, 1 Tl 2.95

energy = -2.6652 eV/atom
symmetry = No. 225

***

CdCuSeBr after structural relaxation, computed with PBE-GGA.

Cell lengths 9.8917, 4.3160, 9.8225 Å; angles 90.00, 90.00, 90.00 degrees
Closest atoms and distances in Å follow each position.
Positions (direct):
Cd 0.0000 0.0000 0.0000  2 Se 2.55
Cd 0.2500 0.0000 0.3238  2 Se 2.60, 2 Br 2.84
Cd 0.5000 0.0000 0.0000  2 Se 2.55
Cd 0.7500 0.0000 0.6762  2 Se 2.60, 2 Br 2.84
Cu 0.1103 0.5000 0.7310  2 Se 2.40, 2 Br 2.56-2.66
Cu 0.3897 0.5000 0.7310  2 Se 2.40, 2 Br 2.56-2.66
Cu 0.6103 0.5000 0.2690  2 Se 2.40, 2 Br 2.56-2.66
Cu 0.8897 0.5000 0.2690  2 Se 2.40, 2 Br 2.56-2.66
Se 0.0047 0.0000 0.7407  2 Cu 2.40, 2 Cd 2.55-2.60
Se 0.4953 0.0000 0.7407  2 Cu 2.40, 2 Cd 2.55-2.60
Se 0.5047 0.0000 0.2593  2 Cu 2.40, 2 Cd 2.55-2.60
Se 0.9953 0.0000 0.2593  2 Cu 2.40, 2 Cd 2.55-2.60
Br 0.2500 0.5000 0.5121  2 Cu 2.56, 2 Cd 2.84
Br 0.2500 0.5000 0.9629  2 Cu 2.66
Br 0.7500 0.5000 0.0371  2 Cu 2.66
Br 0.7500 0.5000 0.4879  2 Cu 2.56, 2 Cd 2.84

energy = -2.8630 eV/atom
symmetry = No. 51

***

CdFe2Br8 after structural relaxation, computed with PBE-GGA.

Cell lengths 8.0036, 8.0036, 6.5067 Å; angles 93.58, 93.58, 82.75 degrees
Closest atoms and distances in Å follow each position.
Positions (direct):
Cd 0.0000 0.0000 0.0000  6 Br 2.80-2.86
Fe 0.2037 0.2037 0.6402  4 Br 2.29-2.40
Fe 0.7963 0.7963 0.3598  4 Br 2.29-2.40
Br 0.0720 0.7156 0.2356  1 Fe 2.40
Br 0.1991 0.1991 0.2748  1 Fe 2.37
Br 0.2844 0.9280 0.7644  1 Fe 2.40
Br 0.3882 0.3882 0.7604  1 Fe 2.29
Br 0.6118 0.6118 0.2396  1 Fe 2.29
Br 0.7156 0.0720 0.2356  1 Fe 2.40
Br 0.8009 0.8009 0.7252  1 Fe 2.37
Br 0.9280 0.2844 0.7644  1 Fe 2.40

energy = -3.3732 eV/atom
symmetry = No. 12

***

Rb2CdFeBr6 after structural relaxation, computed with PBE-GGA.

Cell lengths 7.6534, 7.6534, 7.6534 Å; angles 60.00, 60.00, 60.00 degrees
Closest atoms and distances in Å follow each position.
Positions (direct):
Rb 0.2500 0.2500 0.2500  12 Br 3.83
Rb 0.7500 0.7500 0.7500  12 Br 3.83
Cd 0.0000 0.0000 0.0000  6 Br 2.79
Fe 0.5000 0.5000 0.5000  6 Br 2.62
Br 0.2577 0.2577 0.7423  1 Fe 2.62, 1 Cd 2.79
Br 0.2577 0.7423 0.2577  1 Fe 2.62, 1 Cd 2.79
Br 0.2577 0.7423 0.7423  1 Fe 2.62, 1 Cd 2.79
Br 0.7423 0.2577 0.2577  1 Fe 2.62, 1 Cd 2.79
Br 0.7423 0.2577 0.7423  1 Fe 2.62, 1 Cd 2.79
Br 0.7423 0.7423 0.2577  1 Fe 2.62, 1 Cd 2.79

energy = -3.1515 eV/atom
symmetry = No. 225

***

Rb2CdGaBr6 after structural relaxation, computed with PBE-GGA.

Cell lengths 7.7901, 7.7901, 7.7901 Å; angles 60.00, 60.00, 60.00 degrees
Closest atoms and distances in Å follow each position.
Positions (direct):
Rb 0.2500 0.2500 0.2500  12 Br 3.90
Rb 0.7500 0.7500 0.7500  12 Br 3.90
Cd 0.0000 0.0000 0.0000  6 Br 2.81
Ga 0.5000 0.5000 0.5000  6 Br 2.70
Br 0.2552 0.2552 0.7448  1 Ga 2.70, 1 Cd 2.81
Br 0.2552 0.7448 0.2552  1 Ga 2.70, 1 Cd 2.81
Br 0.2552 0.7448 0.7448  1 Ga 2.70, 1 Cd 2.81
Br 0.7448 0.2552 0.2552  1 Ga 2.70, 1 Cd 2.81
Br 0.7448 0.2552 0.7448  1 Ga 2.70, 1 Cd 2.81
Br 0.7448 0.7448 0.2552  1 Ga 2.70, 1 Cd 2.81

energy = -2.7279 eV/atom
symmetry = No. 225

***

CdGeBr after structural relaxation, computed with PBE-GGA.

Cell lengths 3.3609, 8.8066, 8.8066 Å; angles 119.83, 90.00, 90.00 degrees
Closest atoms and distances in Å follow each position.
Positions (direct):
Cd 0.0000 0.0000 0.0000  2 Cd 3.36, 6 Ge 3.37-3.44, 6 Br 3.37-3.39
Cd 0.0000 0.3230 0.6613  6 Ge 3.36-3.42, 2 Cd 3.36, 6 Br 3.37-3.40
Cd 0.0000 0.6613 0.3230  6 Ge 3.36-3.42, 2 Cd 3.36, 6 Br 3.37-3.40
Ge 0.5000 0.3285 0.9943  3 Br 2.95-2.96
Ge 0.5000 0.6602 0.6602  3 Br 2.91
Ge 0.5000 0.9943 0.3285  3 Br 2.95-2.96
Br 0.5000 0.3309 0.3309  3 Ge 2.91-2.95
Br 0.5000 0.6620 0.9915  3 Ge 2.91-2.96
Br 0.5000 0.9915 0.6620  3 Ge 2.91-2.96

energy = -2.2328 eV/atom
symmetry = No. 38

***

HfCdHg2Br6 after structural relaxation, computed with PBE-GGA.

Cell lengths 7.7047, 7.7047, 7.7047 Å; angles 60.00, 60.00, 60.00 degrees
Closest atoms and distances in Å follow each position.
Positions (direct):
Hf 0.0000 0.0000 0.0000  6 Br 2.62
Cd 0.5000 0.5000 0.5000  6 Br 2.83
Hg 0.2500 0.2500 0.2500  12 Br 3.85
Hg 0.7500 0.7500 0.7500  12 Br 3.85
Br 0.2405 0.2405 0.7595  1 Hf 2.62, 1 Cd 2.83
Br 0.2405 0.7595 0.2405  1 Hf 2.62, 1 Cd 2.83
Br 0.2405 0.7595 0.7595  1 Hf 2.62, 1 Cd 2.83
Br 0.7595 0.2405 0.2405  1 Hf 2.62, 1 Cd 2.83
Br 0.7595 0.2405 0.7595  1 Hf 2.62, 1 Cd 2.83
Br 0.7595 0.7595 0.2405  1 Hf 2.62, 1 Cd 2.83

energy = -2.9207 eV/atom
symmetry = No. 225

***

HfCdIn2Br6 after structural relaxation, computed with PBE-GGA.

Cell lengths 8.2970, 8.2970, 8.2970 Å; angles 60.00, 60.00, 60.00 degrees
Closest atoms and distances in Å follow each position.
Positions (direct):
Hf 0.0000 0.0000 0.0000  6 Br 2.63
Cd 0.5000 0.5000 0.5000  6 Br 3.24
In 0.2500 0.2500 0.2500  12 Br 4.16
In 0.7500 0.7500 0.7500  12 Br 4.16
Br 0.2238 0.2238 0.7762  1 Hf 2.63
Br 0.2238 0.7762 0.2238  1 Hf 2.63
Br 0.2238 0.7762 0.7762  1 Hf 2.63
Br 0.7762 0.2238 0.2238  1 Hf 2.63
Br 0.7762 0.2238 0.7762  1 Hf 2.63
Br 0.7762 0.7762 0.2238  1 Hf 2.63

energy = -3.4228 eV/atom
symmetry = No. 225

***

Cd2IBr3 after structural relaxation, computed with PBE-GGA.

Cell lengths 4.2427, 4.3428, 12.2936 Å; angles 90.00, 90.00, 90.00 degrees
Closest atoms and distances in Å follow each position.
Positions (direct):
Cd 0.0000 0.0000 0.0000  4 Br 2.65-2.67
Cd 0.5000 0.5000 0.4935  2 Br 2.67, 2 I 2.81
I 0.5000 0.0000 0.6383  2 Cd 2.81
Br 0.0000 0.5000 0.3620  2 Cd 2.67
Br 0.0000 0.5000 0.8732  2 Cd 2.67
Br 0.5000 0.0000 0.1290  2 Cd 2.65

energy = -2.1687 eV/atom
symmetry = No. 25

***

Sr2CdIBrO2 after structural relaxation, computed with PBE-GGA.

Cell lengths 9.1667, 9.1667, 9.1667 Å; angles 152.46, 152.46, 39.35 degrees
Closest atoms and distances in Å follow each position.
Positions (direct):
Sr 0.0000 0.0000 0.0000  4 O 2.75
Sr 0.1881 0.1881 0.0000  4 O 2.69
Cd 0.5972 0.5972 0.0000  4 O 2.18
I 0.7841 0.7841 0.0000  1 Cd 3.23, 4 Sr 3.50
Br 0.4264 0.4264 0.0000  1 Cd 2.95
O 0.0971 0.5971 0.5000  2 Cd 2.18
O 0.5971 0.0971 0.5000  2 Cd 2.18

energy = -4.3494 eV/atom
symmetry = No. 107

***

Rb2CdI2Br2 after structural relaxation, computed with PBE-GGA.

Cell lengths 11.8676, 7.3655, 7.3655 Å; angles 109.16, 90.00, 90.00 degrees
Closest atoms and distances in Å follow each position.
Positions (direct):
Rb 0.0000 0.0000 0.0000  4 Br 3.45-3.67, 2 I 3.75
Rb 0.2500 0.6352 0.2817  2 Br 3.35-3.58
Rb 0.5000 0.0000 0.0000  4 Br 3.45-3.67, 2 I 3.75
Rb 0.7500 0.2817 0.6352  2 Br 3.35-3.58
Cd 0.2500 0.2362 0.6831  2 Br 2.65-2.66, 2 I 2.82
Cd 0.7500 0.6831 0.2362  2 Br 2.65-2.66, 2 I 2.82
I 0.0550 0.4370 0.8589  1 Cd 2.82
I 0.4450 0.4370 0.8589  1 Cd 2.82
I 0.5550 0.8589 0.4370  1 Cd 2.82
I 0.9450 0.8589 0.4370  1 Cd 2.82
Br 0.2500 0.1577 0.3053  1 Cd 2.65
Br 0.2500 0.9016 0.7485  1 Cd 2.66
Br 0.7500 0.3053 0.1577  1 Cd 2.65
Br 0.7500 0.7485 0.9016  1 Cd 2.66

energy = -2.5950 eV/atom
symmetry = No. 40

***

Rb2CdInBr6 after structural relaxation, computed with PBE-GGA.

Cell lengths 7.9640, 7.9640, 7.9640 Å; angles 60.00, 60.00, 60.00 degrees
Closest atoms and distances in Å follow each position.
Positions (direct):
Rb 0.2500 0.2500 0.2500  12 Br 3.98
Rb 0.7500 0.7500 0.7500  12 Br 3.98
Cd 0.0000 0.0000 0.0000  6 Br 2.81
In 0.5000 0.5000 0.5000  6 Br 2.83
Br 0.2491 0.2491 0.7509  1 Cd 2.81, 1 In 2.83
Br 0.2491 0.7509 0.2491  1 Cd 2.81, 1 In 2.83
Br 0.2491 0.7509 0.7509  1 Cd 2.81, 1 In 2.83
Br 0.7509 0.2491 0.2491  1 Cd 2.81, 1 In 2.83
Br 0.7509 0.2491 0.7509  1 Cd 2.81, 1 In 2.83
Br 0.7509 0.7509 0.2491  1 Cd 2.81, 1 In 2.83

energy = -2.7276 eV/atom
symmetry = No. 225

***

KCdBr2 after structural relaxation, computed with PBE-GGA.

Cell lengths 4.1266, 4.6347, 6.5227 Å; angles 90.00, 90.00, 90.00 degrees
Closest atoms and distances in Å follow each position.
Positions (direct):
K 0.0000 0.0000 0.0000  4 Br 3.10
Cd 0.0000 0.5000 0.5000  4 Br 3.10
Br 0.5000 0.0000 0.5000  4 Cd 3.10
Br 0.5000 0.5000 0.0000  4 K 3.10

energy = -2.2605 eV/atom
symmetry = No. 47

***

KRb2CdBr6 after structural relaxation, computed with PBE-GGA.

Cell lengths 6.8926, 7.9039, 8.4991 Å; angles 91.76, 113.81, 115.67 degrees
Closest atoms and distances in Å follow each position.
Positions (direct):
K 0.0000 0.0000 0.0000  6 Br 3.21-3.30
Rb 0.4782 0.7143 0.2394  7 Br 3.51-3.82
Rb 0.5218 0.2857 0.7606  7 Br 3.51-3.82
Cd 0.0000 0.5000 0.5000  6 Br 2.76-2.86
Br 0.0330 0.2057 0.3480  1 Cd 2.76
Br 0.0972 0.3759 0.8230  1 Cd 2.86
Br 0.4781 0.7933 0.6546  1 Cd 2.77
Br 0.5219 0.2067 0.3454  1 Cd 2.77
Br 0.9028 0.6241 0.1770  1 Cd 2.86
Br 0.9670 0.7943 0.6520  1 Cd 2.76

energy = -2.6250 eV/atom
symmetry = No. 2

***

KRb2CdBr6 after structural relaxation, computed with PBE-GGA.

Cell lengths 8.2472, 8.2472, 8.2472 Å; angles 60.00, 60.00, 60.00 degrees
Closest atoms and distances in Å follow each position.
Positions (direct):
K 0.0000 0.0000 0.0000  6 Br 3.08
Rb 0.2500 0.2500 0.2500  12 Br 4.13
Rb 0.7500 0.7500 0.7500  12 Br 4.13
Cd 0.5000 0.5000 0.5000  6 Br 2.75
Br 0.2645 0.2645 0.7355  1 Cd 2.75
Br 0.2645 0.7355 0.2645  1 Cd 2.75
Br 0.2645 0.7355 0.7355  1 Cd 2.75
Br 0.7355 0.2645 0.2645  1 Cd 2.75
Br 0.7355 0.2645 0.7355  1 Cd 2.75
Br 0.7355 0.7355 0.2645  1 Cd 2.75

energy = -2.5798 eV/atom
symmetry = No. 225

***

K2TlCdBr6 after structural relaxation, computed with PBE-GGA.

Cell lengths 8.0221, 8.0221, 8.0221 Å; angles 60.00, 60.00, 60.00 degrees
Closest atoms and distances in Å follow each position.
Positions (direct):
K 0.2500 0.2500 0.2500  12 Br 4.01
K 0.7500 0.7500 0.7500  12 Br 4.01
Tl 0.0000 0.0000 0.0000  6 Br 2.91
Cd 0.5000 0.5000 0.5000  6 Br 2.76
Br 0.2564 0.2564 0.7436  1 Cd 2.76, 1 Tl 2.91
Br 0.2564 0.7436 0.2564  1 Cd 2.76, 1 Tl 2.91
Br 0.2564 0.7436 0.7436  1 Cd 2.76, 1 Tl 2.91
Br 0.7436 0.2564 0.2564  1 Cd 2.76, 1 Tl 2.91
Br 0.7436 0.2564 0.7436  1 Cd 2.76, 1 Tl 2.91
Br 0.7436 0.7436 0.2564  1 Cd 2.76, 1 Tl 2.91

energy = -2.6208 eV/atom
symmetry = No. 225

***

K2YCdBr6 after structural relaxation, computed with PBE-GGA.

Cell lengths 8.1621, 8.1621, 8.1621 Å; angles 60.00, 60.00, 60.00 degrees
Closest atoms and distances in Å follow each position.
Positions (direct):
K 0.2500 0.2500 0.2500  12 Br 4.08
K 0.7500 0.7500 0.7500  12 Br 4.08
Y 0.0000 0.0000 0.0000  6 Br 2.79
Cd 0.5000 0.5000 0.5000  6 Br 2.98
Br 0.2420 0.2420 0.7580  1 Y 2.79, 1 Cd 2.98
Br 0.2420 0.7580 0.2420  1 Y 2.79, 1 Cd 2.98
Br 0.2420 0.7580 0.7580  1 Y 2.79, 1 Cd 2.98
Br 0.7580 0.2420 0.2420  1 Y 2.79, 1 Cd 2.98
Br 0.7580 0.2420 0.7580  1 Y 2.79, 1 Cd 2.98
Br 0.7580 0.7580 0.2420  1 Y 2.79, 1 Cd 2.98

energy = -3.4033 eV/atom
symmetry = No. 225